No. 1
# CeSmGaPb

A relaxed CeSmGaPb crystal (PBE-GGA, Alexandria via LeMat-Bulk).

Lattice parameters (Å, degrees): 5.3776 5.3776 5.3776 60.00 60.00 60.00
Closest atoms and distances in Å follow each position.
Positions (direct):
1 Ce 0.0000 0.0000 0.0000  4 Pb 3.29, 4 Ga 3.29
2 Sm 0.5000 0.5000 0.5000  4 Pb 3.29, 4 Ga 3.29
3 Ga 0.7500 0.7500 0.7500  4 Sm 3.29, 4 Ce 3.29
4 Pb 0.2500 0.2500 0.2500  4 Ce 3.29, 4 Sm 3.29

Computed properties:
Space group: F-43m, No. 216
Uncorrected energy (eV per atom): -4.75
Fermi-level density of states (states/eV/cell): 7.9
Crystal system: cubic
Formation energy (eV/atom): -0.407

No. 2
# TbCeGaPb

A relaxed TbCeGaPb crystal (PBE-GGA, Alexandria via LeMat-Bulk).

Lattice parameters (Å, degrees): 5.3366 5.3366 5.3366 60.00 60.00 60.00
Closest atoms and distances in Å follow each position.
Positions (direct):
1 Tb 0.0000 0.0000 0.0000  4 Pb 3.27, 4 Ga 3.27
2 Ce 0.5000 0.5000 0.5000  4 Pb 3.27, 4 Ga 3.27
3 Ga 0.2500 0.2500 0.2500  4 Tb 3.27, 4 Ce 3.27
4 Pb 0.7500 0.7500 0.7500  4 Tb 3.27, 4 Ce 3.27

Computed properties:
Space group: F-43m, No. 216
Uncorrected energy (eV per atom): -4.73
Fermi-level density of states (states/eV/cell): 8.0
Crystal system: cubic
Formation energy (eV/atom): -0.403

No. 3
# CeThGaPb

A relaxed CeThGaPb crystal (PBE-GGA, Alexandria via LeMat-Bulk).

Lattice parameters (Å, degrees): 5.4054 5.4054 5.4054 60.00 60.00 60.00
Closest atoms and distances in Å follow each position.
Positions (direct):
1 Ce 0.0000 0.0000 0.0000  4 Pb 3.31, 4 Ga 3.31
2 Th 0.5000 0.5000 0.5000  4 Ga 3.31, 4 Pb 3.31
3 Ga 0.7500 0.7500 0.7500  4 Th 3.31, 4 Ce 3.31
4 Pb 0.2500 0.2500 0.2500  4 Ce 3.31, 4 Th 3.31

Computed properties:
Space group: F-43m, No. 216
Uncorrected energy (eV per atom): -5.29
Fermi-level density of states (states/eV/cell): 8.9
Crystal system: cubic
Formation energy (eV/atom): -0.266